No. 1
DFT (PBE) results for Hf2TiSbN after structural relaxation.

Computed properties:
SG: P4/mmm
Total magnetic moment, μB per formula unit: 0.00
E_form (uncorrected), meV/atom: -769
DOS at the Fermi energy, states/eV/f.u.: 5.8
VASP energy, Ry per atom: -0.6482

Structure (POSCAR):
```
Hf2TiSbN
1.0
4.572 0.000 0.000
0.000 4.572 0.000
0.000 0.000 4.034
Hf Ti Sb N
2 1 1 1
direct
0.000 0.500 0.000
0.500 0.000 0.000
0.000 0.000 0.500
0.500 0.500 0.500
0.000 0.000 0.000
```

***

No. 2
DFT (PBE) results for HfUSb2N after structural relaxation.

Computed properties:
SG: P4/nmm
Total magnetic moment, μB per formula unit: 0.83
E_form (uncorrected), meV/atom: -789
DOS at the Fermi energy, states/eV/f.u.: 4.6
VASP energy, Ry per atom: -0.6138

Structure (POSCAR):
```
HfUSb2N
1.0
3.897 0.000 0.000
0.000 3.897 0.000
0.000 0.000 13.742
Hf U Sb N
2 2 4 2
direct
0.250 0.250 0.070
0.750 0.750 0.930
0.250 0.250 0.583
0.750 0.750 0.417
0.250 0.250 0.292
0.250 0.250 0.854
0.750 0.750 0.146
0.750 0.750 0.708
0.250 0.750 0.500
0.750 0.250 0.500
```

***

No. 3
DFT (PBE) results for YHf2SbN after structural relaxation.

Computed properties:
SG: P4/mmm
Total magnetic moment, μB per formula unit: 0.00
E_form (uncorrected), meV/atom: 1812
DOS at the Fermi energy, states/eV/f.u.: 10.8
VASP energy, Ry per atom: -0.4374

Structure (POSCAR):
```
YHf2SbN
1.0
5.222 0.000 0.000
0.000 5.222 0.000
0.000 0.000 5.622
Y Hf Sb N
1 2 1 1
direct
0.000 0.000 0.000
0.000 0.500 0.500
0.500 0.000 0.500
0.000 0.000 0.500
0.500 0.500 0.000
```

***

No. 4
DFT (PBE) results for HfZrSb2N after structural relaxation.

Computed properties:
SG: P4/nmm
Total magnetic moment, μB per formula unit: 0.00
E_form (uncorrected), meV/atom: -616
DOS at the Fermi energy, states/eV/f.u.: 2.2
VASP energy, Ry per atom: -0.5608

Structure (POSCAR):
```
HfZrSb2N
1.0
3.859 0.000 0.000
0.000 3.859 0.000
0.000 0.000 15.797
Hf Zr Sb N
2 2 4 2
direct
0.250 0.250 0.125
0.750 0.750 0.875
0.250 0.250 0.560
0.750 0.750 0.440
0.250 0.250 0.305
0.250 0.250 0.926
0.750 0.750 0.074
0.750 0.750 0.695
0.250 0.750 0.500
0.750 0.250 0.500
```

***

No. 5
DFT (PBE) results for HfZr2SbN after structural relaxation.

Computed properties:
SG: P4/mmm
Total magnetic moment, μB per formula unit: 0.00
E_form (uncorrected), meV/atom: 1879
DOS at the Fermi energy, states/eV/f.u.: 5.3
VASP energy, Ry per atom: -0.4425

Structure (POSCAR):
```
HfZr2SbN
1.0
5.194 0.000 0.000
0.000 5.194 0.000
0.000 0.000 5.208
Hf Zr Sb N
1 2 1 1
direct
0.000 0.000 0.000
0.000 0.500 0.000
0.500 0.000 0.000
0.000 0.000 0.500
0.500 0.500 0.500
```

***

No. 6
DFT (PBE) results for Hf2ScN after structural relaxation.

Computed properties:
SG: Cmmm
Total magnetic moment, μB per formula unit: 0.00
E_form (uncorrected), meV/atom: -891
DOS at the Fermi energy, states/eV/f.u.: 3.9
VASP energy, Ry per atom: -0.7006

Structure (POSCAR):
```
Hf2ScN
1.0
2.393 -4.676 0.000
2.393 4.676 0.000
0.000 0.000 3.201
Hf Sc N
2 1 1
direct
0.158 0.842 0.000
0.842 0.158 0.000
0.500 0.500 0.500
0.000 0.000 0.500
```

***

No. 7
DFT (PBE) results for HfSc2N3 after structural relaxation.

Computed properties:
Energy above the lowest structure with this stoichiometry, kJ per mole of atoms: 0.0
SG: Imm2
Total magnetic moment, μB per formula unit: 0.00
E_form (uncorrected), meV/atom: -1592
DOS at the Fermi energy, states/eV/f.u.: 2.5
VASP energy, Ry per atom: -0.7000

Structure (POSCAR):
```
HfSc2N3
1.0
-1.735 5.203 2.450
1.735 -5.203 2.450
1.735 5.203 -2.450
Hf Sc N
1 2 3
direct
0.000 0.000 0.000
0.338 0.005 0.333
0.672 0.005 0.667
0.243 0.743 0.500
0.594 0.758 0.836
0.922 0.758 0.164
```

***

No. 8
DFT (PBE) results for HfSc4N4 after structural relaxation.

Computed properties:
SG: I4/m
Total magnetic moment, μB per formula unit: 0.00
E_form (uncorrected), meV/atom: -1706
DOS at the Fermi energy, states/eV/f.u.: 1.9
VASP energy, Ry per atom: -0.6855

Structure (POSCAR):
```
HfSc4N4
1.0
-3.590 3.590 2.262
3.590 -3.590 2.262
3.590 3.590 -2.262
Hf Sc N
1 4 4
direct
0.000 0.000 0.000
0.188 0.392 0.579
0.392 0.812 0.204
0.608 0.188 0.796
0.812 0.608 0.421
0.097 0.706 0.804
0.294 0.097 0.391
0.706 0.903 0.609
0.903 0.294 0.196
```

***

No. 9
DFT (PBE) results for Hf3ScN3 after structural relaxation.

Computed properties:
Energy above the lowest structure with this stoichiometry, kJ per mole of atoms: 0.0
SG: P6_3/mmc
Total magnetic moment, μB per formula unit: 0.00
E_form (uncorrected), meV/atom: -1386
DOS at the Fermi energy, states/eV/f.u.: 3.7
VASP energy, Ry per atom: -0.7441

Structure (POSCAR):
```
Hf3ScN3
1.0
7.382 0.000 0.000
-3.691 6.393 0.000
0.000 0.000 4.523
Hf Sc N
6 2 6
direct
0.171 0.341 0.250
0.171 0.829 0.250
0.341 0.171 0.750
0.659 0.829 0.250
0.829 0.171 0.750
0.829 0.659 0.750
0.333 0.667 0.750
0.667 0.333 0.250
0.159 0.317 0.750
0.159 0.841 0.750
0.317 0.159 0.250
0.683 0.841 0.750
0.841 0.159 0.250
0.841 0.683 0.250
```

***

No. 10
DFT (PBE) results for HfSc4N5 after structural relaxation.

Computed properties:
SG: Immm
Total magnetic moment, μB per formula unit: 0.00
E_form (uncorrected), meV/atom: -1945
DOS at the Fermi energy, states/eV/f.u.: 1.9
VASP energy, Ry per atom: -0.7082

Structure (POSCAR):
```
HfSc4N5
1.0
-1.598 2.256 7.993
1.598 -2.256 7.993
1.598 2.256 -7.993
Hf Sc N
1 4 5
direct
0.000 0.000 0.000
0.201 0.201 0.000
0.398 0.398 0.000
0.602 0.602 0.000
0.799 0.799 0.000
0.097 0.597 0.500
0.300 0.800 0.500
0.500 0.000 0.500
0.700 0.200 0.500
0.903 0.403 0.500
```

***

No. 11
DFT (PBE) results for Hf3Sc5N8 after structural relaxation.

Computed properties:
SG: R-3m
Total magnetic moment, μB per formula unit: 0.00
E_form (uncorrected), meV/atom: -1943
DOS at the Fermi energy, states/eV/f.u.: 2.4
VASP energy, Ry per atom: -0.7314

Structure (POSCAR):
```
Hf3Sc5N8
1.0
3.197 1.846 5.223
-3.197 1.846 5.223
0.000 -3.692 5.223
Hf Sc N
3 5 8
direct
0.000 0.500 0.500
0.500 0.000 0.500
0.500 0.500 0.000
0.000 0.000 0.000
0.000 0.000 0.500
0.000 0.500 0.000
0.500 0.000 0.000
0.500 0.500 0.500
0.250 0.250 0.745
0.250 0.745 0.250
0.252 0.252 0.252
0.255 0.750 0.750
0.745 0.250 0.250
0.748 0.748 0.748
0.750 0.255 0.750
0.750 0.750 0.255
```

***

No. 12
DFT (PBE) results for Hf6ScN8 after structural relaxation.

Computed properties:
SG: Fm-3m
Total magnetic moment, μB per formula unit: 0.00
E_form (uncorrected), meV/atom: -1752
DOS at the Fermi energy, states/eV/f.u.: 3.9
VASP energy, Ry per atom: -0.7788

Structure (POSCAR):
```
Hf6ScN8
1.0
0.000 4.498 4.498
4.498 0.000 4.498
4.498 4.498 0.000
Hf Sc N
6 1 8
direct
0.000 0.000 0.500
0.000 0.500 0.000
0.000 0.500 0.500
0.500 0.000 0.000
0.500 0.000 0.500
0.500 0.500 0.000
0.000 0.000 0.000
0.243 0.243 0.757
0.243 0.757 0.243
0.243 0.757 0.757
0.250 0.250 0.250
0.750 0.750 0.750
0.757 0.243 0.243
0.757 0.243 0.757
0.757 0.757 0.243
```

***

Which of these has the lowest E_form (uncorrected)? HfSc4N5

***

Look up the DOS at the Fermi energy of the tenth one. 1.9 states/eV/f.u.

***

What is the total magnetic moment in the first record? 0.00 μB per formula unit